A plane-wave DFT calculation with PBE with a Hubbard U was carried out for a relaxed structure of Fe2O2F3.

a = 5.658 Å, b = 5.658 Å, c = 7.012 Å
α = 107.06°, β = 107.06°, γ = 53.84°
Fractional positions:
Fe (0.192, 0.198, 0.379)
Fe (0.198, 0.192, 0.879)
Fe (0.802, 0.808, 0.121)
Fe (0.808, 0.802, 0.621)
O (0.044, 0.381, 0.640)
O (0.381, 0.044, 0.140)
O (0.619, 0.956, 0.860)
O (0.956, 0.619, 0.360)
F (0.113, 0.887, 0.750)
F (0.187, 0.565, 0.033)
F (0.435, 0.813, 0.467)
F (0.565, 0.187, 0.533)
F (0.813, 0.435, 0.967)
F (0.887, 0.113, 0.250)

Properties
Calculated density in g cm⁻³: 3.89
VASP energy in eV/cell: -78.298
Crystal system: monoclinic